The following is a PBE-GGA calculation of an optimized crystal structure of MgZn2Hg, from Alexandria via LeMat-Bulk.

* energy above the lowest structure with this stoichiometry: 0.03 eV/f.u.
* SG: Pmm2
* total magnetization: 0.0 μB/cell
* calculated total energy: -4.55 eV/cell
* energy relative to the elements: -0.10 eV/f.u.

Cell: 3.477 3.747 5.771 Å, 90.00 90.00 90.00°
Sites, in units of the cell vectors:
Mg (0.000, 0.000, 0.000)
Zn (0.000, 0.000, 0.476)
Zn (0.500, 0.500, 0.263)
Hg (0.500, 0.500, 0.747)